The following is a PBE-GGA calculation of a relaxed structure of CaNdTc, from Alexandria via LeMat-Bulk.

a = 8.3320 Å, b = 8.3320 Å, c = 6.0850 Å
α = 103.50°, β = 103.50°, γ = 26.45°
Fractional positions:
Ca: 0.0767 0.0767 0.3006
Ca: 0.9233 0.9233 0.6994
Nd: 0.3432 0.3432 0.1577
Nd: 0.6568 0.6568 0.8423
Tc: 0.2607 0.2607 0.6198
Tc: 0.7393 0.7393 0.3802

## Properties
DOS at the Fermi energy	6.2	states/eV per cell
formation enthalpy at 0 K	0.117	eV per atom